(1)
PaPdCl | PBE-GGA | optimized geometry

Properties
Energy relative to the elements, uncorrected = -692 meV/atom
SG = Fdd2

Cell: 7.4985 7.2298 8.6279 Å, 55.60 52.71 71.69°
Fractional positions:
Pa  0.2021  0.7979  0.2705
Pa  0.5205  0.9795  0.4521
Pa  0.7979  0.2021  0.7295
Pa  0.9795  0.5205  0.0479
Pd  0.0995  0.8624  0.6182
Pd  0.6318  0.8302  0.1505
Pd  0.8302  0.6318  0.3876
Pd  0.8624  0.0995  0.4198
Cl  0.2348  0.3380  0.5308
Cl  0.3380  0.2348  0.8963
Cl  0.3537  0.7192  0.9120
Cl  0.7192  0.3537  0.0152

(2)
PrPaCl2 | PBE-GGA | optimized geometry

Properties
Energy relative to the elements, uncorrected = -1023 meV/atom
SG = R-3m

Cell: 3.4723 3.4723 29.9826 Å, 90.00 90.00 120.00°
Fractional positions:
Pr  0.0000  0.0000  0.0000
Pr  0.3333  0.6667  0.6667
Pr  0.6667  0.3333  0.3333
Pa  0.0000  0.0000  0.5000
Pa  0.3333  0.6667  0.1667
Pa  0.6667  0.3333  0.8333
Cl  0.0000  0.0000  0.0988
Cl  0.0000  0.0000  0.9012
Cl  0.3333  0.6667  0.5679
Cl  0.3333  0.6667  0.7654
Cl  0.6667  0.3333  0.2346
Cl  0.6667  0.3333  0.4321

(3)
Pr2PaCl | PBE-GGA | optimized geometry

Properties
Energy relative to the elements, uncorrected = -341 meV/atom
SG = R-3m

Cell: 3.3608 3.3608 33.9979 Å, 90.00 90.00 120.00°
Fractional positions:
Pr  0.0000  0.0000  0.0973
Pr  0.0000  0.0000  0.9027
Pr  0.3333  0.6667  0.5693
Pr  0.3333  0.6667  0.7640
Pr  0.6667  0.3333  0.2360
Pr  0.6667  0.3333  0.4307
Pa  0.0000  0.0000  0.0000
Pa  0.3333  0.6667  0.6667
Pa  0.6667  0.3333  0.3333
Cl  0.0000  0.0000  0.5000
Cl  0.3333  0.6667  0.1667
Cl  0.6667  0.3333  0.8333

(4)
PrPaCl | PBE-GGA | optimized geometry

Properties
Energy relative to the elements, uncorrected = -654 meV/atom
SG = Pmma

Cell: 5.4768 3.3571 8.9630 Å, 90.00 90.00 90.00°
Fractional positions:
Pr  0.2500  0.0000  0.2164
Pr  0.7500  0.0000  0.7836
Pa  0.2500  0.5000  0.5587
Pa  0.7500  0.5000  0.4413
Cl  0.2500  0.0000  0.8690
Cl  0.7500  0.0000  0.1310

(5)
PaPtCl | PBE-GGA | optimized geometry

Properties
Energy relative to the elements, uncorrected = -1077 meV/atom
SG = P2_1/m

Cell: 5.0459 4.3482 7.4789 Å, 90.00 109.61 90.00°
Fractional positions:
Pa  0.2446  0.2500  0.2037
Pa  0.7554  0.7500  0.7963
Pt  0.3194  0.7500  0.9866
Pt  0.6806  0.2500  0.0134
Cl  0.2338  0.7500  0.4575
Cl  0.7662  0.2500  0.5425

(6)
PaPt4Cl | PBE-GGA | optimized geometry

Properties
Energy relative to the elements, uncorrected = -654 meV/atom
SG = F-43m

Cell: 5.3814 5.3814 5.3814 Å, 60.00 60.00 60.00°
Fractional positions:
Pa  0.0000  0.0000  0.0000
Pt  0.1247  0.6251  0.6251
Pt  0.6251  0.1247  0.6251
Pt  0.6251  0.6251  0.1247
Pt  0.6251  0.6251  0.6251
Cl  0.2500  0.2500  0.2500

(7)
PuPaCl6 | PBE-GGA | optimized geometry

Properties
Energy relative to the elements, uncorrected = -1851 meV/atom
SG = R-3

Cell: 7.5179 7.5179 7.5179 Å, 55.08 55.08 55.08°
Fractional positions:
Pu  0.0000  0.0000  0.0000
Pa  0.5000  0.5000  0.5000
Cl  0.1092  0.7428  0.4032
Cl  0.2572  0.5968  0.8908
Cl  0.4032  0.1092  0.7428
Cl  0.5968  0.8908  0.2572
Cl  0.7428  0.4032  0.1092
Cl  0.8908  0.2572  0.5968

(8)
PuPaCl5 | PBE-GGA | optimized geometry

Properties
Energy relative to the elements, uncorrected = -1691 meV/atom
SG = C2/c
Energy above the most stable polymorph in this dataset = 86.1 meV per atom

Cell: 8.0996 8.0996 8.8448 Å, 100.96 100.96 105.57°
Fractional positions:
Pu  0.0641  0.9359  0.7500
Pu  0.9359  0.0641  0.2500
Pa  0.0000  0.5000  0.5000
Pa  0.5000  0.0000  0.0000
Cl  0.0534  0.8174  0.4150
Cl  0.1826  0.9466  0.0850
Cl  0.2056  0.3925  0.3206
Cl  0.2949  0.7051  0.7500
Cl  0.3925  0.2056  0.8206
Cl  0.6075  0.7944  0.1794
Cl  0.7051  0.2949  0.2500
Cl  0.7944  0.6075  0.6794
Cl  0.8174  0.0534  0.9150
Cl  0.9466  0.1826  0.5850

Number 1: size of the total moment 4.9 μB per cell. Number 2: size of the total moment 0.4 μB per cell. Number 3: size of the total moment 0.0 μB per cell. Number 4: size of the total moment 0.7 μB per cell. Number 5: size of the total moment 1.7 μB per cell. Number 6: size of the total moment 0.3 μB per cell. Number 7: size of the total moment 7.0 μB per cell. Number 8: size of the total moment 16.0 μB per cell.